Record 1
TbSm5Te6: optimized geometry, PBE.

POSCAR file:
```
TbSm5Te6
1.0
-2.003 0.444 7.377
0.960 -6.838 3.347
6.739 -1.758 3.273
Sm Te Tb
5 6 1
direct
0.500 0.171 0.658
0.000 0.333 0.335
0.500 0.829 0.342
0.000 0.667 0.665
0.500 0.500 0.000
0.753 0.083 0.328
0.753 0.411 0.672
0.250 0.245 0.000
0.247 0.917 0.672
0.247 0.589 0.328
0.750 0.755 0.000
0.000 0.000 0.000
```

Properties
SG	C2/m, No. 12



Record 2
TbSmTe: optimized geometry, PBE.

POSCAR file:
```
TbSmTe
1.0
3.917 0.000 0.000
0.000 3.917 0.000
-1.959 -1.959 5.856
Sm Te Tb
1 1 1
direct
0.627 0.627 0.254
0.288 0.288 0.575
0.935 0.935 0.871
```

Properties
SG	I4mm, No. 107
offset from the most stable computed form	10.7	kJ per mole of atoms



Record 3
Tb5SmTe8: optimized geometry, PBE.

POSCAR file:
```
Tb5SmTe8
1.0
8.324 0.274 -0.471
-2.559 7.926 0.471
-3.207 -3.872 6.657
Te Tb Sm
8 5 1
direct
0.525 0.643 0.268
0.125 0.760 0.986
0.635 0.862 0.875
0.732 0.257 0.374
0.227 0.240 0.365
0.118 0.743 0.475
0.014 0.138 0.773
0.626 0.357 0.882
0.673 0.548 0.627
0.500 0.000 0.500
0.875 0.954 0.327
0.373 0.046 0.922
0.078 0.452 0.125
0.250 0.500 0.750
```

Properties
SG	I-4, No. 82



Record 4
Tb2Sm3Te8: optimized geometry, PBE.

POSCAR file:
```
Tb2Sm3Te8
1.0
-6.137 -2.342 3.820
-0.115 -7.434 -4.744
6.392 1.255 6.075
Te Tb Sm
8 2 3
direct
0.415 0.876 0.248
0.585 0.628 0.752
0.919 0.123 0.246
0.415 0.372 0.248
0.894 0.619 0.237
0.106 0.381 0.763
0.081 0.877 0.754
0.585 0.124 0.752
0.332 0.250 0.501
0.668 0.750 0.499
0.000 0.259 0.000
0.000 0.741 0.000
0.500 0.000 0.000
```

Properties
SG	C2/m, No. 12



Record 5
TbSm2Te2: optimized geometry, PBE.

POSCAR file:
```
TbSm2Te2
1.0
4.755 -0.153 0.029
1.113 4.625 0.029
1.300 0.991 7.109
Sm Tb Te
2 1 2
direct
0.753 0.247 0.500
0.247 0.753 0.500
0.000 0.000 0.000
0.321 0.321 0.200
0.679 0.679 0.800
```

Properties
SG	C2/m, No. 12



Record 6
Tb2Sm3ThTe6: optimized geometry, PBE.

POSCAR file:
```
Tb2Sm3ThTe6
1.0
-0.531 -3.199 -2.969
8.551 -2.311 0.962
-3.977 -3.863 8.127
Te Tb Th Sm
6 2 1 3
direct
0.996 0.744 0.993
0.004 0.256 0.007
0.329 0.908 0.658
0.669 0.583 0.339
0.331 0.417 0.661
0.671 0.092 0.342
0.835 0.668 0.671
0.165 0.332 0.329
0.500 0.000 0.000
0.500 0.500 0.000
0.840 0.164 0.680
0.160 0.836 0.320
```

Properties
SG	C2/m, No. 12



Record 7
TbSm2ThTe5: optimized geometry, PBE.

POSCAR file:
```
TbSm2ThTe5
1.0
-2.696 4.751 -0.842
-2.635 -0.641 4.816
8.676 5.903 5.533
Te Th Sm Tb
5 1 2 1
direct
0.500 0.500 0.000
0.000 0.000 0.247
0.500 0.000 0.500
0.000 0.500 0.500
0.000 0.000 0.753
0.000 0.000 0.000
0.500 0.500 0.352
0.500 0.500 0.648
0.000 0.000 0.500
```

Properties
SG	P4/mmm, No. 123



Record 8
TbSm2Th3Te6: optimized geometry, PBE.

POSCAR file:
```
TbSm2Th3Te6
1.0
-2.924 -2.685 1.731
2.686 -6.603 -5.705
6.835 0.893 7.515
Te Th Sm Tb
6 3 2 1
direct
0.999 0.758 0.998
0.001 0.242 0.002
0.663 0.085 0.326
0.332 0.421 0.664
0.337 0.915 0.674
0.668 0.579 0.336
0.500 0.500 0.000
0.168 0.834 0.336
0.832 0.166 0.664
0.167 0.333 0.334
0.833 0.667 0.666
0.500 0.000 0.000
```

Properties
SG	C2/m, No. 12



The formation energy from raw total energies results, record by record, are as follows: -16.47 -2.35 -18.94 -16.37 -3.81 -15.50 -5.62 -14.08 eV per formula unit.
The calculated total energy results, record by record, are as follows: -5.296 -4.946 -5.139 -4.994 -4.833 -5.432 -4.757 -5.771 eV per atom.